Entry 1:
NdYHo: optimized geometry, PBE.

The structure belongs to space group P2_1/m (No. 11); the cell edges are 6.2716, 3.6213 and 8.9213 Å and the angles 90.00°, 103.53° and 90.00°. The inequivalent atoms are Nd at (0.2474, 0.2500, 0.4973), Y at (0.4714, 0.2500, 0.1641) and Ho at (0.0301, 0.2500, 0.8378).

The formation energy is -0.0041 eV per atom.

Entry 2:
Nd2YHo12: optimized geometry, PBE.

The structure belongs to space group C2/m (No. 12); the cell edges are 7.0847, 11.1891 and 24.3852 Å and the angles 90.00°, 94.12° and 90.00°. The inequivalent atoms are Nd at (0.0678, 0.0000, 0.2724), Nd at (0.0684, 0.5000, 0.2725), Y at (0.2500, 0.0000, 0.9999), Ho at (0.0186, 0.2500, 0.0741), Ho at (0.1120, 0.2505, 0.4454), Ho at (0.1418, 0.0000, 0.5717), Ho at (0.1426, 0.5000, 0.5711), Ho at (0.1672, 0.2503, 0.6687), Ho at (0.2000, 0.2501, 0.7996), Ho at (0.2156, 0.0000, 0.8642) and Ho at (0.2156, 0.5000, 0.8643).

The formation energy is 0.1135 eV per atom.

Entry 3:
Nd7Y16Ho6: optimized geometry, PBE.

The structure belongs to space group Fm-3m (No. 225); the cell edges are 15.7102, 15.7102 and 15.7102 Å and the angles 90.00°, 90.00° and 90.00°. The inequivalent atoms are Nd at (0.0000, 0.0000, 0.0000), Nd at (0.0000, 0.2500, 0.2500), Y at (0.1128, 0.1128, 0.3872), Y at (0.1499, 0.1499, 0.1499) and Ho at (0.0000, 0.0000, 0.2244).

The formation energy is 0.1828 eV per atom.

Entry 4:
Nd2Y5Ho: optimized geometry, PBE.

The structure belongs to space group C2/c (No. 15); the cell edges are 6.3906, 25.5185 and 6.7310 Å and the angles 90.00°, 91.24° and 90.00°. The inequivalent atoms are Nd at (0.0000, 0.0000, 0.0000), Nd at (0.2500, 0.2500, 0.0000), Y at (0.0000, 0.1150, 0.7500), Y at (0.1755, 0.3158, 0.4727), Y at (0.2432, 0.3972, 0.8224) and Ho at (0.0000, 0.4486, 0.2500).

The formation energy is 0.3079 eV per atom.